The following is a DFT calculation (GGA-PBE) of a relaxed Sr2HgSe crystal.

a = 4.599 Å, b = 4.599 Å, c = 6.503 Å
α = 90.00°, β = 90.00°, γ = 90.00°
Atoms (fractional coordinates):
Sr  0.000  0.000  0.000
Sr  0.500  0.500  0.499
Hg  0.000  0.000  0.500
Se  0.500  0.500  0.999

Summary:
Distance to the lowest polymorph of the same formula in eV/atom: 0.091
Energy relative to the elements, uncorrected in eV/atom: -1.0577